# NaCoAsPd, relaxed, DFT PBE
data_NaCoAsPd
_symmetry_space_group_name_H-M 'P 1'
_symmetry_Int_Tables_number 1
_cell_length_a 3.729
_cell_length_b 3.729
_cell_length_c 10.800
_cell_angle_alpha 90.00
_cell_angle_beta 90.00
_cell_angle_gamma 90.00
loop_
_symmetry_equiv_pos_as_xyz
'x,y,z'
loop_
_atom_site_label
_atom_site_type_symbol
_atom_site_fract_x
_atom_site_fract_y
_atom_site_fract_z
Co1 Co 0.250 0.750 0.000
Co2 Co 0.750 0.250 0.000
Na1 Na 0.250 0.250 0.720
Pd1 Pd 0.750 0.250 0.500
Pd2 Pd 0.250 0.750 0.500
As1 As 0.250 0.250 0.126
As2 As 0.750 0.750 0.874
Na2 Na 0.750 0.750 0.280
# - Magnetization: 0.00 μB per atom
# - Symmetry: P4/nmm, No. 129
# - Final energy: -18.965 eV per formula unit
# - Theoretical density: 5.822 g cm⁻³
# - ΔE_f: -0.17 eV/atom